PBE LiOs2Ru, optimized geometry; total magnetic moment = 0.000 μB per cell; VASP energy = -8.1781 eV/atom; volume = 13.57 A^3/atom
1.0
2.7138 0.0000 0.0000
0.0000 3.8783 0.0000
0.0000 0.0000 5.1567
Li Os Ru
1 2 1
direct
0.0000 0.0000 0.0000 Li
0.0000 0.0000 0.4972 Os
0.5000 0.5000 0.2534 Os
0.5000 0.5000 0.7794 Ru